This record from Alexandria via LeMat-Bulk describes a relaxed TcAg2W crystal. The functional is PBE.

Cell lengths 2.668, 2.668, 9.648 Å; angles 90.00, 90.00, 107.11 degrees
Positions (direct):
Ag: 0.000 0.000 0.002
Tc: 0.500 0.500 0.250
W: 0.500 0.500 0.750
Ag: 0.000 0.000 0.498

Calculated values
Its calculated formation energy is 0.633 eV per atom. The value obtained for the uncorrected energy is -0.4867 Ry/atom. Its energy above the most stable polymorph in this dataset is 311.3 meV per atom.

=====

This record from Alexandria via LeMat-Bulk describes a relaxed PrAl2GaAu4 crystal. The functional is PBE.

Cell lengths 4.404, 4.404, 9.789 Å; angles 77.00, 77.00, 60.00 degrees
Positions (direct):
Au: 0.398 0.398 0.805
Al: 0.756 0.756 0.733
Pr: 0.000 0.000 0.000
Au: 0.873 0.873 0.381
Ga: 0.500 0.500 0.500
Au: 0.127 0.127 0.619
Au: 0.602 0.602 0.195
Al: 0.244 0.244 0.267

Calculated values
Its calculated formation energy is -0.489 eV per atom. The value obtained for the uncorrected energy is -0.2969 Ry/atom.

=====

This record from Alexandria via LeMat-Bulk describes a relaxed NiIrRh crystal. The functional is PBE.

Cell lengths 3.993, 3.993, 3.993 Å; angles 60.00, 60.00, 60.00 degrees
Positions (direct):
Rh: 0.000 0.000 0.000
Ni: 0.750 0.750 0.750
Ir: 0.500 0.500 0.500

Calculated values
Its calculated formation energy is 0.500 eV per atom. The value obtained for the uncorrected energy is -0.5021 Ry/atom. Its energy above the most stable polymorph in this dataset is 491.1 meV per atom.

=====

This record from Alexandria via LeMat-Bulk describes a relaxed MoP3 crystal. The functional is PBE.

Cell lengths 3.860, 3.860, 3.860 Å; angles 90.00, 90.00, 90.00 degrees
Positions (direct):
P: 0.500 0.500 0.000
P: 0.500 0.000 0.500
P: 0.000 0.500 0.500
Mo: 0.000 0.000 0.000

Calculated values
Its calculated formation energy is 0.641 eV per atom. The value obtained for the uncorrected energy is -0.4501 Ry/atom. Its energy above the most stable polymorph in this dataset is 884.9 meV per atom.

=====

This record from Alexandria via LeMat-Bulk describes a relaxed SiSbS2Cl crystal. The functional is PBE.

Cell lengths 5.135, 5.135, 5.034 Å; angles 90.00, 90.00, 90.00 degrees
Positions (direct):
S: 0.500 0.000 0.000
Sb: 0.000 0.000 0.000
S: 0.000 0.500 0.000
Si: 0.500 0.500 0.500
Cl: 0.000 0.000 0.500

Calculated values
The uncorrected formation energy comes out at 497 meV/atom. The value obtained for the uncorrected energy is -0.2523 Ry/atom. Its energy above the most stable polymorph in this dataset is 448.8 meV per atom.

=====

This record from Alexandria via LeMat-Bulk describes a relaxed LiSi2Ag crystal. The functional is PBE.

Cell lengths 8.946, 8.946, 8.946 Å; angles 18.45, 18.45, 18.45 degrees
Positions (direct):
Ag: 0.250 0.250 0.250
Si: 0.498 0.498 0.498
Li: 0.750 0.750 0.750
Si: 0.002 0.002 0.002

Calculated values
The uncorrected formation energy comes out at 140 meV/atom. The value obtained for the uncorrected energy is -0.2766 Ry/atom. Its energy above the most stable polymorph in this dataset is 90.5 meV per atom.

=====

This record from Alexandria via LeMat-Bulk describes a relaxed Ca2AlReRh crystal. The functional is PBE.

Cell lengths 5.504, 4.629, 5.504 Å; angles 90.00, 90.00, 90.00 degrees
Positions (direct):
Ca: 0.000 0.000 0.500
Re: 0.000 0.000 0.000
Rh: 0.000 0.500 0.000
Al: 0.500 0.500 0.500
Ca: 0.500 0.000 0.000

Calculated values
Its calculated formation energy is 0.781 eV per atom. The value obtained for the uncorrected energy is -0.3475 Ry/atom.

=====

This record from Alexandria via LeMat-Bulk describes a relaxed TcS2I crystal. The functional is PBE.

Cell lengths 6.682, 6.682, 6.769 Å; angles 60.43, 60.43, 90.00 degrees
Positions (direct):
I: 0.000 0.000 0.000
Tc: 0.250 0.750 0.500
S: 0.375 0.506 0.750
I: 0.750 0.250 0.500
S: 0.256 0.625 0.250
Tc: 0.500 0.500 0.000
S: 0.494 0.125 0.250
S: 0.875 0.744 0.750

Calculated values
The uncorrected formation energy comes out at 43 meV/atom. The value obtained for the uncorrected energy is -0.3675 Ry/atom. Its energy above the most stable polymorph in this dataset is 181.1 meV per atom.

=====

This record from Alexandria via LeMat-Bulk describes a relaxed MgUGaAu crystal. The functional is PBE.

Cell lengths 4.911, 4.911, 4.911 Å; angles 60.00, 60.00, 60.00 degrees
Each line ends with the local moment (μB).
Positions (direct):
Ga: 0.250 0.250 0.250  0.03
Au: 0.750 0.750 0.750  0.01
Mg: 0.000 0.000 0.000  0.00
U: 0.500 0.500 0.500  2.32

Calculated values
Its calculated formation energy is -0.195 eV per atom. The value obtained for the uncorrected energy is -0.3669 Ry/atom.

=====

This record from Alexandria via LeMat-Bulk describes a relaxed TbTm5Pd2 crystal. The functional is PBE.

Cell lengths 3.758, 6.699, 17.749 Å; angles 90.00, 90.00, 106.29 degrees
Positions (direct):
Tm: 0.658 0.315 0.955
Tm: 0.052 0.103 0.402
Tm: 0.052 0.103 0.098
Tb: 0.339 0.678 0.250
Pd: 0.735 0.470 0.129
Tm: 0.397 0.795 0.750
Tm: 0.658 0.315 0.545
Tm: 0.948 0.897 0.902
Tm: 0.948 0.897 0.598
Tm: 0.603 0.205 0.250
Tm: 0.342 0.685 0.455
Pd: 0.265 0.530 0.871
Pd: 0.735 0.470 0.371
Tb: 0.661 0.322 0.750
Tm: 0.342 0.685 0.045
Pd: 0.265 0.530 0.629

Calculated values
Its calculated formation energy is -0.390 eV per atom. The value obtained for the uncorrected energy is -0.3720 Ry/atom.

=====

This record from Alexandria via LeMat-Bulk describes a relaxed LiBeO2 crystal. The functional is PBE.

Cell lengths 2.692, 4.615, 4.845 Å; angles 98.61, 106.13, 90.00 degrees
Each line ends with the local moment (μB).
Positions (direct):
Li: 0.750 0.250 0.000  0.00
O: 0.605 0.869 0.711  0.45
Be: 0.000 0.000 0.500  -0.02
Li: 0.250 0.750 0.000  0.00
O: 0.895 0.631 0.289  0.45
O: 0.395 0.131 0.289  0.45
O: 0.105 0.369 0.711  0.45
Be: 0.500 0.500 0.500  -0.02

Calculated values
The uncorrected formation energy comes out at -1693 meV/atom. The value obtained for the uncorrected energy is -0.4103 Ry/atom.

=====

This record from Alexandria via LeMat-Bulk describes a relaxed KNa2U3S8 crystal. The functional is PBE.

Cell lengths 8.205, 8.205, 8.442 Å; angles 60.92, 60.92, 60.00 degrees
Each line ends with the local moment (μB).
Positions (direct):
U: 0.001 0.500 0.999  1.79
U: 0.500 0.001 0.999  1.79
U: 0.500 0.500 0.999  1.79
S: 0.250 0.703 0.796  -0.06
K: 0.874 0.874 0.377  0.00
S: 0.744 0.311 0.200  -0.06
S: 0.250 0.250 0.796  -0.06
S: 0.703 0.250 0.796  -0.06
S: 0.744 0.744 0.200  -0.06
Na: 0.119 0.119 0.643  0.00
S: 0.731 0.731 0.806  -0.06
S: 0.265 0.265 0.205  -0.06
S: 0.311 0.744 0.200  -0.06
Na: 0.499 0.499 0.504  0.00

Calculated values
The uncorrected formation energy comes out at -1336 meV/atom. The value obtained for the uncorrected energy is -0.4690 Ry/atom.